No. 1
Below is crystalline CuB2CCl at its relaxed geometry, with properties calculated at the PBE level.

Unit cell a=3.109 b=7.623 c=3.109 alpha=90.00 beta=90.00 gamma=90.00
Element x y z (fractional)
C: 0.000 0.000 0.000
B: 0.000 0.000 0.500
B: 0.500 0.000 0.000
Cu: 0.000 0.500 0.000
Cl: 0.500 0.500 0.500

## Properties
Formation energy without anion corrections (kJ/mol of atoms): 92
M_tot (μB/cell): 0.00
D(E_F) (states/eV/f.u.): 1.865

---

No. 2
Below is crystalline RbPaSn2O7 at its relaxed geometry, with properties calculated at the PBE level.

Unit cell a=3.845 b=3.845 c=11.734 alpha=90.00 beta=90.00 gamma=90.00
Element x y z (fractional)
Rb: 0.000 0.000 0.500
Pa: 0.000 0.000 0.000
Sn: 0.500 0.500 0.205
Sn: 0.500 0.500 0.795
O: 0.500 0.500 0.633
O: 0.000 0.500 0.133
O: 0.500 0.000 0.133
O: 0.000 0.500 0.867
O: 0.500 0.000 0.867
O: 0.500 0.500 0.367
O: 0.500 0.500 0.000

## Properties
Formation energy without anion corrections (kJ/mol of atoms): -187
M_tot (μB/cell): 0.00

---

No. 3
Below is crystalline Ce3Ga at its relaxed geometry, with properties calculated at the PBE level.

Unit cell a=6.686 b=6.686 c=5.142 alpha=90.00 beta=90.00 gamma=120.00
Element x y z (fractional)
Ce: 0.181 0.363 0.250
Ce: 0.637 0.819 0.250
Ce: 0.181 0.819 0.250
Ce: 0.819 0.637 0.750
Ce: 0.363 0.181 0.750
Ce: 0.819 0.181 0.750
Ga: 0.333 0.667 0.750
Ga: 0.667 0.333 0.250

## Properties
DFT formation energy (eV/atom): -0.25
M_tot (μB/cell): 3.29
D(E_F) (states/eV/f.u.): 12.169

---

No. 4
Below is crystalline VInAg2 at its relaxed geometry, with properties calculated at the PBE level.

Unit cell a=2.884 b=2.884 c=10.799 alpha=82.33 beta=82.33 gamma=60.00
Element x y z (fractional)
V: 0.000 0.000 0.000
Ag: 0.083 0.083 0.752
Ag: 0.917 0.917 0.248
In: 0.500 0.500 0.500

## Properties
DFT formation energy (eV/atom): 0.55
M_tot (μB/cell): 1.07
D(E_F) (states/eV/f.u.): 3.423

---

No. 5
Below is crystalline Nd2As4Pd3Au at its relaxed geometry, with properties calculated at the PBE level.

Unit cell a=4.486 b=4.486 c=10.021 alpha=90.00 beta=90.00 gamma=90.00
Element x y z (fractional)
Nd: 0.500 0.000 0.243
Nd: 0.000 0.500 0.757
As: 0.500 0.500 0.000
As: 0.000 0.000 0.000
As: 0.500 0.000 0.637
As: 0.000 0.500 0.363
Pd: 0.000 0.000 0.500
Pd: 0.500 0.000 0.882
Pd: 0.000 0.500 0.118
Au: 0.500 0.500 0.500

## Properties
DFT formation energy (eV/atom): -0.78
M_tot (μB/cell): 0.00
D(E_F) (states/eV/f.u.): 4.484

---

No. 6
Below is crystalline AcTb6Pm6 at its relaxed geometry, with properties calculated at the PBE level.

Unit cell a=6.757 b=6.757 c=11.573 alpha=90.00 beta=90.00 gamma=120.00
Element x y z (fractional)
Ac: 0.000 0.000 0.000
Tb: 0.000 0.500 0.750
Tb: 0.500 0.000 0.750
Tb: 0.500 0.500 0.750
Tb: 0.500 0.000 0.250
Tb: 0.000 0.500 0.250
Tb: 0.500 0.500 0.250
Pm: 0.000 0.000 0.646
Pm: 0.000 0.000 0.354
Pm: 0.333 0.667 0.000
Pm: 0.667 0.333 0.000
Pm: 0.333 0.667 0.500
Pm: 0.667 0.333 0.500

## Properties
DFT formation energy (eV/atom): 0.24
M_tot (μB/cell): 0.00
D(E_F) (states/eV/f.u.): 26.378

---

No. 7
Below is crystalline KSb2TeN at its relaxed geometry, with properties calculated at the PBE level.

Unit cell a=4.896 b=4.896 c=5.176 alpha=90.00 beta=90.00 gamma=90.00
Element x y z (fractional)
Sb: 0.000 0.500 0.000
Sb: 0.500 0.000 0.000
K: 0.500 0.500 0.500
Te: 0.000 0.000 0.500
N: 0.000 0.000 0.000

## Properties
Formation energy without anion corrections (kJ/mol of atoms): 42
M_tot (μB/cell): 0.00
D(E_F) (states/eV/f.u.): 4.962

---

No. 8
Below is crystalline Ti3CuIr2 at its relaxed geometry, with properties calculated at the PBE level.

Unit cell a=3.385 b=4.181 c=12.650 alpha=90.00 beta=90.00 gamma=90.00
Element x y z (fractional)
Ti: 0.500 0.500 0.665
Ti: 0.500 0.000 0.500
Ti: 0.500 0.500 0.335
Ti: 0.500 0.000 0.165
Ti: 0.500 0.500 0.000
Ti: 0.500 0.000 0.835
Cu: 0.000 0.500 0.500
Cu: 0.000 0.000 0.000
Ir: 0.000 0.000 0.665
Ir: 0.000 0.000 0.335
Ir: 0.000 0.500 0.165
Ir: 0.000 0.500 0.835

## Properties
DFT formation energy (eV/atom): -0.61
M_tot (μB/cell): 0.00
D(E_F) (states/eV/f.u.): 4.217

---

No. 9
Below is crystalline B5C7 at its relaxed geometry, with properties calculated at the PBE level.

Unit cell a=4.659 b=4.659 c=4.281 alpha=97.73 beta=97.73 gamma=120.10
Element x y z (fractional)
B: 0.205 0.839 0.510
B: 0.980 0.685 0.091
B: 0.506 0.538 0.510
B: 0.352 0.314 0.091
B: 0.364 0.697 0.082
C: 0.203 0.536 0.667
C: 0.855 0.188 0.501
C: 0.728 0.062 0.128
C: 0.650 0.304 0.977
C: 0.560 0.209 0.608
C: 0.971 0.983 0.977
C: 0.876 0.894 0.608

## Properties
DFT formation energy (eV/atom): 0.40
M_tot (μB/cell): 0.00
D(E_F) (states/eV/f.u.): 1.373

---

No. 10
Below is crystalline AcGd2Zn at its relaxed geometry, with properties calculated at the PBE level.

Unit cell a=3.700 b=3.700 c=8.948 alpha=90.00 beta=90.00 gamma=90.00
Element x y z (fractional)
Ac: 0.500 0.500 0.500
Gd: 0.000 0.000 0.806
Gd: 0.000 0.000 0.194
Zn: 0.500 0.500 0.000

## Properties
DFT formation energy (eV/atom): -0.14
M_tot (μB/cell): 15.03
D(E_F) (states/eV/f.u.): 4.913

---

No. 11
Below is crystalline EuTm2Pa at its relaxed geometry, with properties calculated at the PBE level.

Unit cell a=3.416 b=3.416 c=12.278 alpha=82.00 beta=82.00 gamma=60.00
Element x y z (fractional)
Eu: 0.000 0.000 0.000
Pa: 0.500 0.500 0.500
Tm: 0.094 0.094 0.719
Tm: 0.906 0.906 0.281

## Properties
DFT formation energy (eV/atom): 0.20
M_tot (μB/cell): 7.62
D(E_F) (states/eV/f.u.): 5.000

---

No. 12
Below is crystalline CaCoCl3 at its relaxed geometry, with properties calculated at the PBE level.

Unit cell a=4.647 b=4.647 c=4.647 alpha=90.00 beta=90.00 gamma=90.00
Element x y z (fractional)
Ca: 0.500 0.500 0.500
Co: 0.000 0.000 0.000
Cl: 0.000 0.500 0.000
Cl: 0.000 0.000 0.500
Cl: 0.500 0.000 0.000

## Properties
Formation energy without anion corrections (kJ/mol of atoms): -98
M_tot (μB/cell): 0.00
D(E_F) (states/eV/f.u.): 2.059

---

No. 13
Below is crystalline UV3C at its relaxed geometry, with properties calculated at the PBE level.

Unit cell a=4.119 b=4.119 c=4.119 alpha=90.00 beta=90.00 gamma=90.00
Element x y z (fractional)
C: 0.000 0.000 0.000
U: 0.500 0.500 0.500
V: 0.000 0.500 0.000
V: 0.000 0.000 0.500
V: 0.500 0.000 0.000

## Properties
DFT formation energy (eV/atom): 0.05
M_tot (μB/cell): 4.08
D(E_F) (states/eV/f.u.): 4.997

---

No. 14
Below is crystalline LaBiNO2 at its relaxed geometry, with properties calculated at the PBE level.

Unit cell a=4.346 b=4.346 c=4.404 alpha=90.00 beta=90.00 gamma=90.00
Element x y z (fractional)
N: 0.000 0.000 0.500
Bi: 0.000 0.000 0.000
O: 0.000 0.500 0.000
O: 0.500 0.000 0.000
La: 0.500 0.500 0.500

## Properties
Formation energy without anion corrections (kJ/mol of atoms): -101
M_tot (μB/cell): 0.17
D(E_F) (states/eV/f.u.): 2.075

---

No. 15
Below is crystalline MnCd3Au at its relaxed geometry, with properties calculated at the PBE level.

Unit cell a=5.241 b=5.241 c=5.241 alpha=90.00 beta=90.00 gamma=90.00
Element x y z (fractional)
Mn: 0.500 0.500 0.500
Au: 0.000 0.000 0.000
Cd: 0.000 0.500 0.000
Cd: 0.000 0.000 0.500
Cd: 0.500 0.000 0.000

## Properties
DFT formation energy (eV/atom): 0.55
M_tot (μB/cell): 4.84
D(E_F) (states/eV/f.u.): 3.110

---

No. 16
Below is crystalline Pm2SmTm12 at its relaxed geometry, with properties calculated at the PBE level.

Unit cell a=6.589 b=6.589 c=24.455 alpha=83.31 beta=83.31 gamma=115.15
Element x y z (fractional)
Pm: 0.539 0.039 0.281
Pm: 0.038 0.538 0.282
Pm: 0.961 0.461 0.719
Pm: 0.462 0.962 0.718
Sm: 0.501 0.001 0.000
Sm: 0.999 0.499 0.000
Tm: 0.394 0.394 0.808
Tm: 0.894 0.894 0.808
Tm: 0.549 0.552 0.933
Tm: 0.353 0.853 0.863
Tm: 0.002 0.002 0.331
Tm: 0.147 0.647 0.137
Tm: 0.823 0.323 0.571
Tm: 0.502 0.502 0.331
Tm: 0.052 0.049 0.933
Tm: 0.951 0.948 0.067
Tm: 0.335 0.333 0.555
Tm: 0.677 0.177 0.429
Tm: 0.998 0.998 0.669
Tm: 0.165 0.167 0.445
Tm: 0.448 0.451 0.067
Tm: 0.667 0.665 0.445
Tm: 0.833 0.835 0.555
Tm: 0.106 0.106 0.192
Tm: 0.320 0.820 0.572
Tm: 0.498 0.498 0.669
Tm: 0.852 0.352 0.864
Tm: 0.606 0.606 0.192
Tm: 0.180 0.680 0.428
Tm: 0.648 0.148 0.136

## Properties
DFT formation energy (eV/atom): 0.11
M_tot (μB/cell): 0.00
D(E_F) (states/eV/f.u.): 25.229

---

No. 17
Below is crystalline ErTh5Sc5 at its relaxed geometry, with properties calculated at the PBE level.

Unit cell a=5.702 b=9.528 c=6.736 alpha=110.71 beta=90.00 gamma=107.41
Element x y z (fractional)
Er: 0.000 0.000 0.000
Th: 0.679 0.357 0.179
Th: 0.634 0.268 0.634
Th: 0.000 0.000 0.500
Th: 0.366 0.732 0.366
Th: 0.321 0.643 0.821
Sc: 0.831 0.663 0.078
Sc: 0.832 0.663 0.585
Sc: 0.500 0.000 0.000
Sc: 0.168 0.337 0.415
Sc: 0.169 0.337 0.922

## Properties
DFT formation energy (eV/atom): 0.32
M_tot (μB/cell): 0.05
D(E_F) (states/eV/f.u.): 17.985

---

No. 18
Below is crystalline Ta2CoRh at its relaxed geometry, with properties calculated at the PBE level.

Unit cell a=4.400 b=4.400 c=4.400 alpha=60.00 beta=60.00 gamma=60.00
Element x y z (fractional)
Co: 0.500 0.500 0.500
Rh: 0.250 0.250 0.250
Ta: 0.000 0.000 0.000
Ta: 0.750 0.750 0.750

## Properties
DFT formation energy (eV/atom): -0.09
M_tot (μB/cell): 0.00
D(E_F) (states/eV/f.u.): 0.789

---

No. 19
Below is crystalline Cs3Sm3NbS8 at its relaxed geometry, with properties calculated at the PBE level.

Unit cell a=8.080 b=8.080 c=9.465 alpha=115.28 beta=90.00 gamma=120.00
Element x y z (fractional)
Cs: 0.000 0.000 0.000
Cs: 0.000 0.500 0.000
Cs: 0.500 0.500 0.000
Sm: 0.500 0.000 0.500
Sm: 0.500 0.500 0.500
Sm: 0.000 0.500 0.500
Nb: 0.000 0.000 0.500
S: 0.271 0.542 0.314
S: 0.729 0.458 0.686
S: 0.789 0.579 0.326
S: 0.211 0.421 0.674
S: 0.790 0.036 0.326
S: 0.210 0.964 0.674
S: 0.247 0.036 0.326
S: 0.753 0.964 0.674

## Properties
Formation energy without anion corrections (kJ/mol of atoms): -155
M_tot (μB/cell): 1.01
D(E_F) (states/eV/f.u.): 5.112

---

No. 20
Below is crystalline KCaAl2 at its relaxed geometry, with properties calculated at the PBE level.

Unit cell a=5.727 b=5.727 c=3.491 alpha=90.02 beta=90.02 gamma=89.06
Element x y z (fractional)
Ca: 0.500 0.000 0.500
K: 0.000 0.500 0.500
Al: 0.000 0.000 0.000
Al: 0.500 0.500 0.000

## Properties
DFT formation energy (eV/atom): 0.23
M_tot (μB/cell): 0.00
D(E_F) (states/eV/f.u.): 2.340

---

No. 21
Below is crystalline Y2AlPd2 at its relaxed geometry, with properties calculated at the PBE level.

Unit cell a=7.498 b=7.498 c=3.824 alpha=90.00 beta=90.00 gamma=90.00
Element x y z (fractional)
Y: 0.176 0.676 0.500
Y: 0.676 0.824 0.500
Y: 0.824 0.324 0.500
Y: 0.324 0.176 0.500
Al: 0.000 0.000 0.000
Al: 0.500 0.500 0.000
Pd: 0.368 0.868 0.000
Pd: 0.868 0.632 0.000
Pd: 0.632 0.132 0.000
Pd: 0.132 0.368 0.000

## Properties
DFT formation energy (eV/atom): -0.81
M_tot (μB/cell): 0.00
D(E_F) (states/eV/f.u.): 2.049

---

No. 22
Below is crystalline PrErPI at its relaxed geometry, with properties calculated at the PBE level.

Unit cell a=4.118 b=4.118 c=7.943 alpha=90.00 beta=105.03 gamma=120.00
Element x y z (fractional)
Pr: 0.507 0.151 0.673
Er: 0.096 0.946 0.057
P: 0.317 0.556 0.889
I: 0.958 0.377 0.350

## Properties
Formation energy without anion corrections (kJ/mol of atoms): -128
M_tot (μB/cell): 0.00
D(E_F) (states/eV/f.u.): 0.562

---

No. 23
Below is crystalline CePmZrPb at its relaxed geometry, with properties calculated at the PBE level.

Unit cell a=5.330 b=5.330 c=5.330 alpha=60.00 beta=60.00 gamma=60.00
Element x y z (fractional)
Pb: 0.250 0.250 0.250
Zr: 0.500 0.500 0.500
Ce: 0.750 0.750 0.750
Pm: 0.000 0.000 0.000

## Properties
DFT formation energy (eV/atom): -0.01
M_tot (μB/cell): 1.55
D(E_F) (states/eV/f.u.): 8.664

---

No. 24
Below is crystalline Dy4Tl2N at its relaxed geometry, with properties calculated at the PBE level.

Unit cell a=6.488 b=6.902 c=8.973 alpha=90.00 beta=109.26 gamma=90.00
Element x y z (fractional)
Dy: 0.530 0.505 0.278
Dy: 0.144 0.750 0.952
Dy: 0.856 0.250 0.048
Dy: 0.530 0.995 0.278
Dy: 0.919 0.250 0.652
Dy: 0.470 0.005 0.722
Dy: 0.470 0.495 0.722
Dy: 0.081 0.750 0.348
Tl: 0.699 0.750 0.024
Tl: 0.301 0.250 0.976
Tl: 0.186 0.250 0.409
Tl: 0.814 0.750 0.591
N: 0.303 0.750 0.208
N: 0.697 0.250 0.792

## Properties
Formation energy without anion corrections (kJ/mol of atoms): -62
M_tot (μB/cell): 0.00
D(E_F) (states/eV/f.u.): 5.273